# 1
# LiScTa2

Crystalline LiScTa2 at its relaxed geometry (GGA-PBEsol, Alexandria).

Cell: 2.9373 4.8900 4.8900 Å, 90.00 90.00 90.00°
Last column: nearest neighbours and their distance in Å.
Atoms (fractional coordinates):
1 Li 0.5000 0.5000 0.5000  8 Ta 2.85, 2 Li 2.94
2 Sc 0.5000 0.0000 0.0000  8 Ta 2.85, 2 Sc 2.94
3 Ta 0.0000 0.0000 0.5000  4 Li 2.85, 4 Sc 2.85, 2 Ta 2.94
4 Ta 0.0000 0.5000 0.0000  4 Li 2.85, 4 Sc 2.85, 2 Ta 2.94

Values from the calculation:
The value obtained for the formation energy is 0.6523 eV per atom. As for the symmetry: P4/mmm.

***

# 2
# LiScTa2

Crystalline LiScTa2 at its relaxed geometry (GGA-PBEsol, Alexandria).

Cell: 2.7613 5.5013 5.5013 Å, 120.02 90.00 90.00°
Last column: nearest neighbours and their distance in Å.
Atoms (fractional coordinates):
1 Li 0.5000 0.0000 0.0000  2 Sc 2.75, 2 Li 2.76, 8 Ta 3.08
2 Sc 0.5000 0.5000 0.5000  2 Li 2.75, 2 Sc 2.76, 8 Ta 3.08
3 Ta 0.0000 0.5000 0.0000  4 Ta 2.75-2.76, 4 Sc 3.08, 4 Li 3.08
4 Ta 0.0000 0.0000 0.5000  4 Ta 2.75-2.76, 4 Li 3.08, 4 Sc 3.08

Values from the calculation:
The value obtained for the formation energy is 0.4348 eV per atom. As for the symmetry: Cmmm.

***

# 3
# LiScTa2

Crystalline LiScTa2 at its relaxed geometry (GGA-PBEsol, Alexandria).

Cell: 3.8203 3.8203 10.5803 Å, 100.40 100.40 90.00°
Last column: nearest neighbours and their distance in Å.
Atoms (fractional coordinates):
1 Sc 0.2500 0.7500 0.5000  4 Li 2.70, 4 Ta 2.89
2 Sc 0.0000 0.0000 0.0000  4 Li 2.70, 4 Ta 2.89
3 Li 0.7500 0.2500 0.5000  4 Sc 2.70, 4 Ta 2.89
4 Li 0.5000 0.5000 0.0000  4 Sc 2.70, 4 Ta 2.89
5 Ta 0.8756 0.8750 0.2500  4 Ta 2.70, 2 Sc 2.89, 2 Li 2.89
6 Ta 0.3744 0.3750 0.2500  4 Ta 2.70, 2 Sc 2.89, 2 Li 2.89
7 Ta 0.1250 0.6256 0.7500  4 Ta 2.70, 2 Sc 2.89, 2 Li 2.89
8 Ta 0.6250 0.1244 0.7500  4 Ta 2.70, 2 Sc 2.89, 2 Li 2.89

Values from the calculation:
The value obtained for the formation energy is 0.6588 eV per atom. As for the symmetry: I-42d.

***

# 4
# LiScTa

Crystalline LiScTa at its relaxed geometry (GGA-PBEsol, Alexandria).

Cell: 4.5584 4.5584 4.5584 Å, 60.00 60.00 60.00°
Last column: nearest neighbours and their distance in Å.
Atoms (fractional coordinates):
1 Li 0.5000 0.5000 0.5000  4 Sc 2.79
2 Sc 0.2500 0.2500 0.2500  4 Ta 2.79, 4 Li 2.79
3 Ta 0.0000 0.0000 0.0000  4 Sc 2.79

Values from the calculation:
The value obtained for the formation energy is 1.5905 eV per atom. As for the symmetry: F-43m.

***

# 5
# LiScTa

Crystalline LiScTa at its relaxed geometry (GGA-PBEsol, Alexandria).

Cell: 2.8667 2.8667 7.5221 Å, 100.98 100.98 90.00°
Last column: nearest neighbours and their distance in Å.
Atoms (fractional coordinates):
1 Li 0.9924 0.9924 0.9849  4 Li 2.87, 4 Ta 3.15
2 Sc 0.6815 0.6815 0.3630  4 Sc 2.87, 4 Ta 2.92
3 Ta 0.3261 0.3261 0.6521  4 Ta 2.87, 4 Sc 2.92, 4 Li 3.15

Values from the calculation:
The value obtained for the formation energy is 0.2645 eV per atom. As for the symmetry: I4mm.

***

# 6
# LiYSc2Ta

Crystalline LiYSc2Ta at its relaxed geometry (GGA-PBEsol, Alexandria).

Cell: 5.1592 5.1592 5.4517 Å, 90.00 90.00 90.00°
Last column: nearest neighbours and their distance in Å.
Atoms (fractional coordinates):
1 Y 0.0000 0.0000 0.5000  2 Ta 2.73
2 Sc 0.0000 0.5000 0.0000  2 Ta 2.58
3 Sc 0.5000 0.0000 0.0000  2 Ta 2.58
4 Li 0.5000 0.5000 0.5000  4 Y 3.65, 8 Sc 3.75
5 Ta 0.0000 0.0000 0.0000  4 Sc 2.58, 2 Y 2.73

Values from the calculation:
The value obtained for the formation energy is 0.6707 eV per atom. As for the symmetry: P4/mmm.

***

# 7
# LiSc2Tc

Crystalline LiSc2Tc at its relaxed geometry (GGA-PBEsol, Alexandria).

Cell: 4.5771 4.5771 4.5771 Å, 60.00 60.00 60.00°
Last column: nearest neighbours and their distance in Å.
Atoms (fractional coordinates):
1 Li 0.5000 0.5000 0.5000  4 Tc 2.80, 4 Sc 2.80
2 Sc 0.0000 0.0000 0.0000  4 Sc 2.80, 4 Tc 2.80
3 Sc 0.7500 0.7500 0.7500  4 Li 2.80, 4 Sc 2.80
4 Tc 0.2500 0.2500 0.2500  4 Li 2.80, 4 Sc 2.80

Values from the calculation:
The value obtained for the formation energy is 0.2598 eV per atom. As for the symmetry: F-43m.

***

# 8
# LiScTc3

Crystalline LiScTc3 at its relaxed geometry (GGA-PBEsol, Alexandria).

Cell: 4.1792 4.1792 4.1792 Å, 90.00 90.00 90.00°
Last column: nearest neighbours and their distance in Å.
Atoms (fractional coordinates):
1 Sc 0.5000 0.5000 0.5000  12 Tc 2.96
2 Tc 0.0000 0.5000 0.0000  2 Li 2.09
3 Tc 0.0000 0.0000 0.5000  2 Li 2.09
4 Tc 0.5000 0.0000 0.0000  2 Li 2.09
5 Li 0.0000 0.0000 0.0000  6 Tc 2.09

Values from the calculation:
The value obtained for the formation energy is 0.9896 eV per atom. As for the symmetry: Pm-3m.

***

# 9
# Li3ScTc

Crystalline Li3ScTc at its relaxed geometry (GGA-PBEsol, Alexandria).

Cell: 4.3405 4.3405 4.3405 Å, 90.00 90.00 90.00°
Last column: nearest neighbours and their distance in Å.
Atoms (fractional coordinates):
1 Sc 0.0000 0.0000 0.0000  6 Li 2.17
2 Tc 0.5000 0.5000 0.5000  12 Li 3.07
3 Li 0.0000 0.5000 0.0000  2 Sc 2.17
4 Li 0.0000 0.0000 0.5000  2 Sc 2.17
5 Li 0.5000 0.0000 0.0000  2 Sc 2.17

Values from the calculation:
The value obtained for the formation energy is 1.6229 eV per atom. As for the symmetry: Pm-3m.

***

# 10
# Li2ScTc

Crystalline Li2ScTc at its relaxed geometry (GGA-PBEsol, Alexandria).

Cell: 2.9465 4.3630 5.7413 Å, 112.33 104.87 90.00°
Last column: nearest neighbours and their distance in Å.
Atoms (fractional coordinates):
1 Li 0.7324 0.7324 0.4648  6 Li 2.66-2.95, 2 Tc 2.79
2 Li 0.2676 0.2676 0.5352  6 Li 2.66-2.95, 2 Tc 2.79
3 Sc 0.5000 0.0000 0.0000  4 Tc 2.63, 2 Sc 2.95
4 Tc 0.0000 0.5000 0.0000  4 Sc 2.63, 4 Li 2.79, 2 Tc 2.95

Values from the calculation:
The value obtained for the formation energy is 0.1869 eV per atom. As for the symmetry: Immm.

***

# 11
# LiSc2Tc

Crystalline LiSc2Tc at its relaxed geometry (GGA-PBEsol, Alexandria).

Cell: 4.5955 4.5955 4.5955 Å, 60.00 60.00 60.00°
Last column: nearest neighbours and their distance in Å.
Atoms (fractional coordinates):
1 Sc 0.2500 0.2500 0.2500  4 Li 2.81, 4 Tc 2.81
2 Sc 0.7500 0.7500 0.7500  4 Tc 2.81, 4 Li 2.81
3 Tc 0.5000 0.5000 0.5000  8 Sc 2.81
4 Li 0.0000 0.0000 0.0000  8 Sc 2.81

Values from the calculation:
The value obtained for the formation energy is -0.0818 eV per atom. As for the symmetry: Fm-3m.

***

# 12
# LiSc2Tc

Crystalline LiSc2Tc at its relaxed geometry (GGA-PBEsol, Alexandria).

Cell: 3.2420 3.2424 7.4320 Å, 90.00 90.14 90.00°
Last column: nearest neighbours and their distance in Å.
Atoms (fractional coordinates):
1 Sc 0.0011 0.0000 0.7994  4 Tc 2.73-2.74, 1 Sc 2.98
2 Sc 0.9989 0.0000 0.2006  4 Tc 2.73-2.74, 1 Sc 2.98
3 Tc 0.5000 0.5000 0.0000  8 Sc 2.73-2.74
4 Li 0.5000 0.5000 0.5000  8 Sc 3.19-3.20, 4 Li 3.24

Values from the calculation:
The value obtained for the formation energy is -0.1094 eV per atom. As for the symmetry: P2/m.

***

# 13
# LiScTe2

Crystalline LiScTe2 at its relaxed geometry (GGA-PBEsol, Alexandria).

Cell: 3.5982 3.5982 7.4065 Å, 90.00 90.00 90.00°
Last column: nearest neighbours and their distance in Å.
Atoms (fractional coordinates):
1 Li 0.5000 0.5000 0.0000  8 Te 3.22, 4 Li 3.60
2 Sc 0.5000 0.5000 0.5000  8 Te 3.08
3 Te 0.0000 0.0000 0.7333  4 Sc 3.08, 4 Li 3.22
4 Te 0.0000 0.0000 0.2667  4 Sc 3.08, 4 Li 3.22

Values from the calculation:
The energy is -4.787 eV per atom. As for the symmetry: P4/mmm.

***

# 14
# LiScTe2

Crystalline LiScTe2 at its relaxed geometry (GGA-PBEsol, Alexandria).

Cell: 3.7474 4.0118 7.1136 Å, 90.00 105.27 90.00°
Last column: nearest neighbours and their distance in Å.
Atoms (fractional coordinates):
1 Li 0.4820 0.0000 0.9639  5 Te 2.76-2.85
2 Sc 0.6981 0.5000 0.3962  6 Te 2.88-2.97
3 Te 0.0390 0.5000 0.0780  4 Li 2.85, 2 Sc 2.88
4 Te 0.2809 0.0000 0.5618  1 Li 2.76, 4 Sc 2.97

Values from the calculation:
The energy is -4.957 eV per atom. As for the symmetry: Amm2.

***

# 15
# LiScTe2

Crystalline LiScTe2 at its relaxed geometry (GGA-PBEsol, Alexandria).

Cell: 4.5844 5.1552 5.1552 Å, 66.03 63.60 63.60°
Last column: nearest neighbours and their distance in Å.
Atoms (fractional coordinates):
1 Li 0.5000 0.0000 0.0000  4 Te 2.88
2 Sc 0.0000 0.5000 0.5000  8 Te 2.99-3.30
3 Te 0.2372 0.7628 0.7628  2 Li 2.88, 2 Sc 2.99
4 Te 0.7628 0.2372 0.2372  2 Li 2.88, 2 Sc 2.99

Values from the calculation:
The energy is -4.752 eV per atom. As for the symmetry: Immm.

***

# 16
# LiSc4Te

Crystalline LiSc4Te at its relaxed geometry (GGA-PBEsol, Alexandria).

Cell: 5.8867 5.8867 5.8867 Å, 60.00 60.00 60.00°
Last column: nearest neighbours and their distance in Å.
Atoms (fractional coordinates):
1 Li 0.0000 0.0000 0.0000  12 Sc 3.45, 4 Te 3.60
2 Sc 0.3750 0.3750 0.3750  6 Sc 2.94
3 Sc 0.3750 0.3750 0.8751  6 Sc 2.94
4 Sc 0.8751 0.3750 0.3750  6 Sc 2.94
5 Sc 0.3750 0.8751 0.3750  6 Sc 2.94
6 Te 0.7500 0.7500 0.7500  12 Sc 3.45, 4 Li 3.60

Values from the calculation:
The energy is -5.152 eV per atom. As for the symmetry: F-43m.

***

# 17
# LiScTi2

Crystalline LiScTi2 at its relaxed geometry (GGA-PBEsol, Alexandria).

Cell: 4.6492 4.6492 4.6492 Å, 60.00 60.00 60.00°
Last column: nearest neighbours and their distance in Å.
Atoms (fractional coordinates):
1 Sc 0.5000 0.5000 0.5000  8 Ti 2.85
2 Li 0.0000 0.0000 0.0000  8 Ti 2.85
3 Ti 0.2500 0.2500 0.2500  4 Li 2.85, 4 Sc 2.85
4 Ti 0.7500 0.7500 0.7500  4 Sc 2.85, 4 Li 2.85

Values from the calculation:
The value obtained for the formation energy is 0.4863 eV per atom. As for the symmetry: Fm-3m.

***

# 18
# Li2ScTi

Crystalline Li2ScTi at its relaxed geometry (GGA-PBEsol, Alexandria).

Cell: 4.6808 4.6808 4.6808 Å, 60.00 60.00 60.00°
Last column: nearest neighbours and their distance in Å.
Atoms (fractional coordinates):
1 Sc 0.0000 0.0000 0.0000  8 Li 2.87
2 Li 0.2500 0.2500 0.2500  4 Sc 2.87, 4 Ti 2.87
3 Li 0.7500 0.7500 0.7500  4 Ti 2.87, 4 Sc 2.87
4 Ti 0.5000 0.5000 0.5000  8 Li 2.87

Values from the calculation:
The value obtained for the formation energy is 0.4206 eV per atom. As for the symmetry: Fm-3m.

***

# 19
# LiScTl

Crystalline LiScTl at its relaxed geometry (GGA-PBEsol, Alexandria).

Cell: 3.2554 4.6609 4.6609 Å, 120.00 90.00 90.00°
Last column: nearest neighbours and their distance in Å.
Atoms (fractional coordinates):
1 Sc 0.6664 0.6667 0.3333  6 Li 3.14-3.15, 6 Tl 3.14-3.15, 2 Sc 3.26
2 Tl 0.1667 0.3333 0.6667  3 Li 2.69
3 Li 0.1669 0.0000 0.0000  3 Tl 2.69

Values from the calculation:
The value obtained for the formation energy is -0.2682 eV per atom. As for the symmetry: P-6m2.

***

# 20
# Li2ScTl

Crystalline Li2ScTl at its relaxed geometry (GGA-PBEsol, Alexandria).

Cell: 4.7598 4.7598 4.7598 Å, 60.00 60.00 60.00°
Last column: nearest neighbours and their distance in Å.
Atoms (fractional coordinates):
1 Sc 0.0000 0.0000 0.0000  4 Tl 2.91, 4 Li 2.91
2 Tl 0.2500 0.2500 0.2500  4 Li 2.91, 4 Sc 2.91
3 Li 0.5000 0.5000 0.5000  4 Li 2.91, 4 Tl 2.91
4 Li 0.7500 0.7500 0.7500  4 Li 2.91, 4 Sc 2.91

Values from the calculation:
The value obtained for the formation energy is -0.2539 eV per atom. As for the symmetry: F-43m.